Record 1
Y2CoAu: optimized geometry, PBE.

a b c (Å): 4.932 7.820 3.533
angles (deg): 63.10 90.03 129.10
Element x y z (fractional)
Au 0.500 0.500 0.000
Co 0.500 0.000 0.500
Y 0.000 0.000 0.000
Y 0.000 0.500 0.500

Computed properties:
- final energy (eV for the cell shown) = -25.07
- calculated formation energy (eV/atom) = -0.439
- symmetry = No. 123

***

Record 2
HfNbRePt2: optimized geometry, PBE.

a b c (Å): 4.761 4.963 4.761
angles (deg): 90.00 90.00 90.00
Element x y z (fractional)
Re 0.500 0.500 0.500
Nb 0.000 0.000 0.000
Hf 0.000 0.500 0.000
Pt 0.000 0.000 0.500
Pt 0.500 0.000 0.000

Computed properties:
- final energy (eV for the cell shown) = -36.51
- calculated formation energy (eV/atom) = 1.609
- symmetry = No. 123

***

Record 3
CuI: optimized geometry, PBE.

a b c (Å): 4.289 4.290 4.290
angles (deg): 90.14 119.93 119.93
Element x y z (fractional)
I 0.000 0.000 0.000
Cu 0.500 0.250 0.750

Computed properties:
- E_form (uncorrected) (eV/atom) = -0.137
- final energy (eV for the cell shown) = -5.92
- symmetry = No. 119

***

Record 4
IrWBr2: optimized geometry, PBE.

a b c (Å): 7.828 7.828 7.828
angles (deg): 157.54 147.31 40.03
Element x y z (fractional)
Ir 0.750 0.250 0.500
Br 0.103 0.103 0.000
Br 0.397 0.397 0.000
W 0.250 0.750 0.500

Computed properties:
- E_form (uncorrected) (eV/atom) = 0.534
- final energy (eV for the cell shown) = -23.02
- offset from the most stable computed form (kJ/mol of atoms) = 44.7
- symmetry = No. 71

***

Record 5
SrCdAsSe2: optimized geometry, PBE.

a b c (Å): 5.780 5.780 5.977
angles (deg): 90.00 90.00 90.00
Element x y z (fractional)
Sr 0.000 0.000 0.000
As 0.000 0.000 0.500
Se 0.000 0.500 0.000
Se 0.500 0.000 0.000
Cd 0.500 0.500 0.500

Computed properties:
- E_form (uncorrected) (eV/atom) = 0.377
- final energy (eV for the cell shown) = -12.33
- offset from the most stable computed form (kJ/mol of atoms) = 65.1
- symmetry = No. 123

***

Record 6
Sr3H: optimized geometry, PBE.

a b c (Å): 7.824 7.824 6.634
angles (deg): 90.00 90.00 120.00
Element x y z (fractional)
Sr 0.167 0.334 0.250
Sr 0.666 0.833 0.250
Sr 0.167 0.833 0.250
Sr 0.833 0.666 0.750
Sr 0.334 0.167 0.750
Sr 0.833 0.167 0.750
H 0.333 0.667 0.750
H 0.667 0.333 0.250

Computed properties:
- final energy (eV for the cell shown) = -13.03
- offset from the most stable computed form (kJ/mol of atoms) = 61.8
- symmetry = No. 194

***

Record 7
TaPRu2: optimized geometry, PBE.

a b c (Å): 4.360 4.360 4.360
angles (deg): 60.00 60.00 60.00
Element x y z (fractional)
Ta 0.250 0.250 0.250
P 0.500 0.500 0.500
Ru 0.000 0.000 0.000
Ru 0.750 0.750 0.750

Computed properties:
- final energy (eV for the cell shown) = -35.50
- calculated formation energy (eV/atom) = 0.079
- symmetry = No. 216

***

Record 8
Cu2TeAs: optimized geometry, PBE.

a b c (Å): 6.214 6.214 6.214
angles (deg): 145.55 146.86 48.56
Element x y z (fractional)
As 0.222 0.722 0.500
Cu 0.071 0.071 0.000
Cu 0.754 0.254 0.500
Te 0.452 0.452 0.000

Computed properties:
- E_form (uncorrected) (eV/atom) = 0.200
- final energy (eV for the cell shown) = -15.19
- offset from the most stable computed form (kJ/mol of atoms) = 13.6
- symmetry = No. 44

***

Record 9
CaNd4Sm2: optimized geometry, PBE.

a b c (Å): 3.679 3.679 21.345
angles (deg): 85.06 85.06 60.00
Element x y z (fractional)
Ca 0.000 0.000 0.000
Nd 0.143 0.143 0.570
Nd 0.283 0.283 0.152
Nd 0.717 0.717 0.848
Nd 0.857 0.857 0.430
Sm 0.429 0.429 0.712
Sm 0.571 0.571 0.288

Computed properties:
- final energy (eV for the cell shown) = -30.35
- calculated formation energy (eV/atom) = 0.023
- symmetry = No. 166

***

Record 10
RbGe3Pb: optimized geometry, PBE.

a b c (Å): 5.627 5.627 5.627
angles (deg): 90.00 90.00 90.00
Element x y z (fractional)
Pb 0.000 0.000 0.000
Ge 0.000 0.500 0.000
Ge 0.000 0.000 0.500
Ge 0.500 0.000 0.000
Rb 0.500 0.500 0.500

Computed properties:
- final energy (eV for the cell shown) = -15.22
- offset from the most stable computed form (kJ/mol of atoms) = 0.0
- calculated formation energy (eV/atom) = 0.661
- symmetry = No. 221

***

Record 11
SrPmGe: optimized geometry, PBE.

a b c (Å): 5.193 5.193 5.193
angles (deg): 60.00 60.00 60.00
Element x y z (fractional)
Sr 0.500 0.500 0.500
Ge 0.250 0.250 0.250
Pm 0.000 0.000 0.000

Computed properties:
- final energy (eV for the cell shown) = -12.33
- offset from the most stable computed form (kJ/mol of atoms) = 0.0
- calculated formation energy (eV/atom) = -0.427
- symmetry = No. 216

***

Record 12
TlOs4Cl: optimized geometry, PBE.

a b c (Å): 5.334 5.334 5.334
angles (deg): 60.00 60.00 60.00
Element x y z (fractional)
Tl 0.750 0.750 0.750
Os 0.876 0.375 0.375
Os 0.375 0.375 0.876
Os 0.375 0.876 0.375
Os 0.375 0.375 0.375
Cl 0.000 0.000 0.000

Computed properties:
- E_form (uncorrected) (eV/atom) = 1.434
- final energy (eV for the cell shown) = -40.53
- symmetry = No. 216

***

Record 13
NdSm2In: optimized geometry, PBE.

a b c (Å): 4.931 4.965 4.965
angles (deg): 90.00 90.00 90.00
Element x y z (fractional)
Nd 0.500 0.500 0.500
Sm 0.000 0.000 0.500
Sm 0.000 0.500 0.000
In 0.500 0.000 0.000

Computed properties:
- final energy (eV for the cell shown) = -18.03
- offset from the most stable computed form (kJ/mol of atoms) = 0.0
- calculated formation energy (eV/atom) = -0.271
- symmetry = No. 123

***

Record 14
Y2Ho2Tm7: optimized geometry, PBE.

a b c (Å): 5.989 7.935 7.935
angles (deg): 91.49 73.63 73.63
Element x y z (fractional)
Y 0.500 0.213 0.787
Y 0.500 0.787 0.213
Ho 0.806 0.408 0.408
Ho 0.194 0.592 0.592
Tm 0.176 0.063 0.590
Tm 0.824 0.410 0.937
Tm 0.824 0.937 0.410
Tm 0.176 0.590 0.063
Tm 0.000 0.000 0.000
Tm 0.580 0.766 0.766
Tm 0.420 0.234 0.234

Computed properties:
- final energy (eV for the cell shown) = -51.55
- offset from the most stable computed form (kJ/mol of atoms) = 4.7
- calculated formation energy (eV/atom) = 0.167
- symmetry = No. 12

***

Record 15
Pa2BeCo3As4: optimized geometry, PBE.

a b c (Å): 4.168 4.168 9.009
angles (deg): 90.00 90.00 90.00
Element x y z (fractional)
Pa 0.500 0.000 0.256
Pa 0.000 0.500 0.744
Be 0.500 0.500 0.500
Co 0.000 0.000 0.500
Co 0.500 0.000 0.885
Co 0.000 0.500 0.115
As 0.500 0.500 0.000
As 0.000 0.000 0.000
As 0.500 0.000 0.630
As 0.000 0.500 0.370

Computed properties:
- final energy (eV for the cell shown) = -68.53
- calculated formation energy (eV/atom) = -0.590
- symmetry = No. 115

***

Record 16
LiCaRh2Br: optimized geometry, PBE.

a b c (Å): 4.797 4.442 4.797
angles (deg): 90.00 90.00 90.00
Element x y z (fractional)
Ca 0.500 0.500 0.500
Rh 0.000 0.000 0.500
Rh 0.500 0.000 0.000
Br 0.000 0.000 0.000
Li 0.000 0.500 0.000

Computed properties:
- E_form (uncorrected) (eV/atom) = 0.039
- final energy (eV for the cell shown) = -20.10
- symmetry = No. 123

***

Record 17
LiSmI3: optimized geometry, PBE.

a b c (Å): 7.356 7.777 8.550
angles (deg): 64.72 62.54 58.44
Element x y z (fractional)
Li 0.836 0.835 0.482
Li 0.164 0.165 0.518
Sm 0.287 0.362 0.987
Sm 0.713 0.638 0.013
I 0.752 0.431 0.744
I 0.097 0.767 0.704
I 0.416 0.055 0.763
I 0.248 0.569 0.256
I 0.903 0.233 0.296
I 0.584 0.945 0.237

Computed properties:
- E_form (uncorrected) (eV/atom) = -1.163
- final energy (eV for the cell shown) = -34.20
- symmetry = No. 2

***

Record 18
VIrSe3: optimized geometry, PBE.

a b c (Å): 4.903 4.903 4.903
angles (deg): 90.00 90.00 90.00
Element x y z (fractional)
Ir 0.000 0.000 0.000
Se 0.000 0.500 0.000
Se 0.000 0.000 0.500
Se 0.500 0.000 0.000
V 0.500 0.500 0.500

Computed properties:
- E_form (uncorrected) (eV/atom) = 0.683
- final energy (eV for the cell shown) = -25.02
- offset from the most stable computed form (kJ/mol of atoms) = 0.0
- symmetry = No. 221

***

Record 19
Ac6Dy2Er: optimized geometry, PBE.

a b c (Å): 6.152 12.752 12.752
angles (deg): 48.65 104.04 104.04
Element x y z (fractional)
Ac 0.813 0.501 0.666
Ac 0.687 0.334 0.499
Ac 0.187 0.499 0.334
Ac 0.313 0.666 0.501
Ac 0.919 0.919 0.419
Ac 0.581 0.581 0.081
Ac 0.081 0.081 0.581
Ac 0.419 0.419 0.919
Ac 0.147 0.834 0.999
Ac 0.353 0.001 0.166
Ac 0.853 0.166 0.001
Ac 0.647 0.999 0.834
Dy 0.507 0.833 0.667
Dy 0.993 0.333 0.167
Dy 0.493 0.167 0.333
Dy 0.007 0.667 0.833
Er 0.250 0.250 0.750
Er 0.750 0.750 0.250

Computed properties:
- final energy (eV for the cell shown) = -74.69
- calculated formation energy (eV/atom) = 0.119
- symmetry = No. 15

***

Record 20
Zr4ZnRe: optimized geometry, PBE.

a b c (Å): 5.580 5.580 5.580
angles (deg): 60.00 60.00 60.00
Element x y z (fractional)
Zr 0.869 0.377 0.377
Zr 0.377 0.377 0.869
Zr 0.377 0.869 0.377
Zr 0.377 0.377 0.377
Zn 0.000 0.000 0.000
Re 0.750 0.750 0.750

Computed properties:
- final energy (eV for the cell shown) = -44.33
- offset from the most stable computed form (kJ/mol of atoms) = 43.5
- calculated formation energy (eV/atom) = 0.598
- symmetry = No. 216

***

Record 21
TlAg2SeBr6: optimized geometry, PBE.

a b c (Å): 8.121 7.889 10.368
angles (deg): 50.54 47.11 50.99
Element x y z (fractional)
Tl 0.783 0.943 0.596
Ag 0.505 0.476 0.324
Ag 0.990 0.101 0.967
Se 0.319 0.323 0.024
Br 0.599 0.117 0.294
Br 0.264 0.924 0.171
Br 0.884 0.475 0.272
Br 0.354 0.719 0.856
Br 0.763 0.158 0.811
Br 0.202 0.425 0.701

Computed properties:
- E_form (uncorrected) (eV/atom) = -0.308
- final energy (eV for the cell shown) = -24.67
- symmetry = No. 1

***

Record 22
LiCaTmCl6: optimized geometry, PBE.

a b c (Å): 6.803 6.803 11.842
angles (deg): 90.00 90.00 120.00
Element x y z (fractional)
Li 0.000 0.000 0.000
Li 0.000 0.000 0.500
Ca 0.667 0.333 0.250
Ca 0.333 0.667 0.750
Tm 0.333 0.667 0.250
Tm 0.667 0.333 0.750
Cl 0.654 0.669 0.127
Cl 0.015 0.346 0.127
Cl 0.346 0.015 0.627
Cl 0.985 0.654 0.873
Cl 0.331 0.346 0.373
Cl 0.015 0.669 0.373
Cl 0.669 0.015 0.873
Cl 0.654 0.985 0.373
Cl 0.985 0.331 0.627
Cl 0.331 0.985 0.127
Cl 0.669 0.654 0.627
Cl 0.346 0.331 0.873

Computed properties:
- E_form (uncorrected) (eV/atom) = -2.189
- final energy (eV for the cell shown) = -78.34
- symmetry = No. 163

***

Record 23
Ce2DyAg: optimized geometry, PBE.

a b c (Å): 3.373 3.373 9.718
angles (deg): 90.00 90.00 90.00
Element x y z (fractional)
Ag 0.500 0.500 0.000
Ce 0.000 0.000 0.774
Ce 0.000 0.000 0.226
Dy 0.500 0.500 0.500

Computed properties:
- final energy (eV for the cell shown) = -19.08
- offset from the most stable computed form (kJ/mol of atoms) = 0.0
- calculated formation energy (eV/atom) = 0.059
- symmetry = No. 123

***

Record 24
Ac7Se5S: optimized geometry, PBE.

a b c (Å): 4.301 7.618 27.164
angles (deg): 90.00 90.00 106.40
Element x y z (fractional)
Ac 0.471 0.943 0.246
Ac 0.529 0.058 0.746
Ac 0.652 0.303 0.035
Ac 0.372 0.743 0.962
Ac 0.349 0.698 0.535
Ac 0.629 0.258 0.462
Ac 0.216 0.433 0.179
Ac 0.805 0.610 0.819
Ac 0.784 0.569 0.679
Ac 0.195 0.391 0.319
Ac 0.933 0.867 0.106
Ac 0.094 0.187 0.885
Ac 0.067 0.134 0.606
Ac 0.907 0.814 0.385
Se 0.013 0.026 0.996
Se 0.730 0.461 0.927
Se 0.291 0.582 0.070
Se 0.551 0.102 0.354
Se 0.425 0.849 0.642
Se 0.988 0.975 0.496
Se 0.270 0.540 0.427
Se 0.710 0.419 0.570
Se 0.450 0.900 0.854
Se 0.576 0.152 0.142
S 0.825 0.649 0.278
S 0.176 0.352 0.778

Computed properties:
- E_form (uncorrected) (eV/atom) = -1.636
- final energy (eV for the cell shown) = -143.15
- symmetry = No. 36